Entry 1:
# PBE-GGA InSi2Tc, relaxed
# DOS at the Fermi energy	1.71	states/eV/f.u.
# V	66.6	Å³/f.u.
# total magnetization	0.00	μB per cell
# formation energy from raw total energies	0.095	eV per atom
data_InSi2Tc
_cell_length_a 4.465
_cell_length_b 4.465
_cell_length_c 5.064
_cell_angle_alpha 83.14
_cell_angle_beta 83.14
_cell_angle_gamma 41.73
_space_group_name_H-M_alt 'P 1'
_space_group_IT_number 1
loop_
_space_group_symop_operation_xyz
'x,y,z'
loop_
_atom_site_label
_atom_site_type_symbol
_atom_site_fract_x
_atom_site_fract_y
_atom_site_fract_z
Si1 Si 0.479 0.479 0.570
Si2 Si 0.021 0.021 0.930
In1 In 0.250 0.250 0.250
Tc1 Tc 0.750 0.750 0.750

=====

Entry 2:
# PBE-GGA InSiTc, relaxed
# DOS at the Fermi energy	2.15	states/eV/f.u.
# V	52.3	Å³/f.u.
# total magnetization	0.15	μB per cell
# energy above the lowest structure with this stoichiometry	421	meV/atom
# formation energy from raw total energies	0.104	eV per atom
data_InSiTc
_cell_length_a 3.061
_cell_length_b 3.061
_cell_length_c 6.442
_cell_angle_alpha 90.00
_cell_angle_beta 90.00
_cell_angle_gamma 120.00
_space_group_name_H-M_alt 'P 1'
_space_group_IT_number 1
loop_
_space_group_symop_operation_xyz
'x,y,z'
loop_
_atom_site_label
_atom_site_type_symbol
_atom_site_fract_x
_atom_site_fract_y
_atom_site_fract_z
Tc1 Tc 0.333 0.667 0.634
In1 In 0.000 0.000 0.990
Si1 Si 0.667 0.333 0.376

=====

Entry 3:
# PBE-GGA In2SiTc, relaxed
# DOS at the Fermi energy	2.62	states/eV/f.u.
# V	76.9	Å³/f.u.
# total magnetization	1.45	μB per cell
# formation energy from raw total energies	0.509	eV per atom
data_In2SiTc
_cell_length_a 3.022
_cell_length_b 3.022
_cell_length_c 8.424
_cell_angle_alpha 90.00
_cell_angle_beta 90.00
_cell_angle_gamma 90.77
_space_group_name_H-M_alt 'P 1'
_space_group_IT_number 1
loop_
_space_group_symop_operation_xyz
'x,y,z'
loop_
_atom_site_label
_atom_site_type_symbol
_atom_site_fract_x
_atom_site_fract_y
_atom_site_fract_z
In1 In 0.000 0.000 0.516
In2 In 0.000 0.000 0.984
Si1 Si 0.500 0.500 0.250
Tc1 Tc 0.500 0.500 0.750

=====

Entry 4:
# PBE-GGA InSiTc, relaxed
# DOS at the Fermi energy	1.60	states/eV/f.u.
# V	56.2	Å³/f.u.
# total magnetization	0.00	μB per cell
# energy above the lowest structure with this stoichiometry	122	meV/atom
# formation energy from raw total energies	-0.195	eV per atom
data_InSiTc
_cell_length_a 9.124
_cell_length_b 3.033
_cell_length_c 8.688
_cell_angle_alpha 90.00
_cell_angle_beta 110.63
_cell_angle_gamma 90.00
_space_group_name_H-M_alt 'P 1'
_space_group_IT_number 1
loop_
_space_group_symop_operation_xyz
'x,y,z'
loop_
_atom_site_label
_atom_site_type_symbol
_atom_site_fract_x
_atom_site_fract_y
_atom_site_fract_z
Tc1 Tc 0.106 0.500 0.686
Tc2 Tc 0.894 0.500 0.314
Tc3 Tc 0.894 0.000 0.814
Tc4 Tc 0.106 0.000 0.186
Si1 Si 0.126 0.500 0.968
Si2 Si 0.874 0.500 0.032
Si3 Si 0.874 0.000 0.532
Si4 Si 0.126 0.000 0.468
In1 In 0.621 0.000 0.162
In2 In 0.621 0.500 0.662
In3 In 0.379 0.500 0.338
In4 In 0.379 0.000 0.838